Below is VFe2HgB after structural relaxation, with properties calculated at the PBE-GGA level.

Summary:
* total energy: -31.52 eV/cell
* DFT formation energy: 0.300 eV per atom

The structure in POSCAR format:
```
VFe2HgB
1.0
3.9185 0.0000 0.0000
0.0000 4.0866 0.0000
0.0000 0.0000 3.9185
Fe Hg V B
2 1 1 1
direct
0.5000 0.0000 0.0000
0.0000 0.0000 0.5000
0.5000 0.5000 0.5000
0.0000 0.5000 0.0000
0.0000 0.0000 0.0000
```

Below is ZnFe2HgB after structural relaxation, with properties calculated at the PBE-GGA level.

Summary:
* total energy: -14.85 eV/cell
* DFT formation energy: 2.065 eV per atom

The structure in POSCAR format:
```
ZnFe2HgB
1.0
-2.8489 0.1243 4.0179
3.6983 -1.5549 2.6704
1.3652 4.6618 0.8238
Hg Fe B Zn
1 2 1 1
direct
0.0000 0.0000 0.0000
0.0000 0.0000 0.5000
0.5000 0.0000 0.0000
0.5000 0.5000 0.5000
0.0000 0.5000 0.0000
```

Below is HoFeB2 after structural relaxation, with properties calculated at the PBE-GGA level.

Summary:
* total energy: -27.66 eV/cell
* E above lowest polymorph: 184.6 meV per atom
* DFT formation energy: -0.317 eV per atom

The structure in POSCAR format:
```
HoFeB2
1.0
3.6048 0.0000 0.0000
1.8024 2.9059 -0.0592
1.8024 0.8640 4.5779
Fe B Ho
1 2 1
direct
0.0000 0.5000 0.5000
0.6786 0.2293 0.4134
0.3214 0.7707 0.5866
0.5000 0.0000 0.0000
```

Below is HoFe5B3 after structural relaxation, with properties calculated at the PBE-GGA level.

Summary:
* total energy: -138.18 eV/cell
* DFT formation energy: -0.240 eV per atom

The structure in POSCAR format:
```
HoFe5B3
1.0
-1.3567 2.9427 -0.7642
-0.1517 -3.2258 -4.9002
-9.5483 -3.6938 2.7273
Fe Ho B
10 2 6
direct
0.4474 0.8949 0.3556
0.4474 0.8949 0.1444
0.0000 0.0000 0.5000
0.1965 0.3931 0.5604
0.5526 0.1051 0.8556
0.5526 0.1051 0.6444
0.1965 0.3931 0.9396
0.8035 0.6069 0.4396
0.8035 0.6069 0.0604
0.0000 0.0000 0.0000
0.8359 0.6719 0.7500
0.1641 0.3281 0.2500
0.6198 0.2397 0.0473
0.6198 0.2397 0.4527
0.8716 0.7432 0.2500
0.3802 0.7603 0.9527
0.1284 0.2568 0.7500
0.3802 0.7603 0.5473
```

Below is HoFe2B after structural relaxation, with properties calculated at the PBE-GGA level.

Summary:
* total energy: -28.77 eV/cell
* DFT formation energy: -0.147 eV per atom

The structure in POSCAR format:
```
HoFe2B
1.0
3.7098 0.0000 0.0000
1.8549 3.2128 0.0000
1.8549 1.0709 4.8560
Fe Ho B
2 1 1
direct
0.6878 0.6878 0.9366
0.3122 0.3122 0.0634
0.5000 0.5000 0.5000
0.0000 0.0000 0.0000
```

Below is Ho2FeB10 after structural relaxation, with properties calculated at the PBE-GGA level.

Summary:
* total energy: -181.73 eV/cell
* DFT formation energy: -0.498 eV per atom

The structure in POSCAR format:
```
Ho2FeB10
1.0
4.1404 0.0000 0.0000
0.0000 5.5636 0.0000
0.0000 0.0000 11.0821
B Fe Ho
20 2 4
direct
0.7008 0.2043 0.1135
0.0000 0.5320 0.3142
0.0000 0.3717 0.0391
0.0000 0.9680 0.8142
0.0000 0.1553 0.6983
0.7008 0.7957 0.8865
0.2992 0.2957 0.6135
0.2992 0.7957 0.8865
0.0000 0.4680 0.6858
0.7008 0.7043 0.3865
0.0000 0.8447 0.3017
0.0000 0.8717 0.4609
0.7008 0.2957 0.6135
0.0000 0.1283 0.5391
0.0000 0.0320 0.1858
0.2992 0.2043 0.1135
0.0000 0.3447 0.1983
0.0000 0.6283 0.9609
0.2992 0.7043 0.3865
0.0000 0.6553 0.8017
0.0000 0.5000 0.5000
0.0000 0.0000 0.0000
0.5000 0.2835 0.8714
0.5000 0.2165 0.3714
0.5000 0.7165 0.1286
0.5000 0.7835 0.6286
```

Below is HoFeB after structural relaxation, with properties calculated at the PBE-GGA level.

Summary:
* total energy: -20.42 eV/cell
* E above lowest polymorph: 142.4 meV per atom
* DFT formation energy: -0.233 eV per atom

The structure in POSCAR format:
```
HoFeB
1.0
3.9979 0.0000 0.0000
0.0000 3.5260 0.0000
0.0000 -1.7630 3.0536
B Fe Ho
1 1 1
direct
0.1667 0.6667 0.3333
0.1667 0.0000 0.0000
0.6667 0.3333 0.6667
```

Below is HoFeB after structural relaxation, with properties calculated at the PBE-GGA level.

Summary:
* total energy: -41.69 eV/cell
* E above lowest polymorph: 0.0 meV per atom
* DFT formation energy: -0.375 eV per atom

The structure in POSCAR format:
```
HoFeB
1.0
-3.1082 -0.6064 1.5440
-1.1628 -1.5422 -2.9465
2.5443 -6.6867 2.4957
Ho B Fe
2 2 2
direct
0.0000 0.5000 0.8054
0.5000 0.0000 0.1946
0.0000 0.5000 0.3629
0.5000 0.0000 0.6371
0.5000 0.5000 0.5000
0.0000 0.0000 0.5000
```

> DFT formation energy of number 2 (ZnFe2HgB)?

2.065 eV per atom

> Look up the DFT formation energy of the eighth one.

-0.375 eV per atom

> Look up the total energy of the first one.

-31.52 eV/cell

> Among the records above, which one has the highest DFT formation energy?

ZnFe2HgB